Record 1
# Al6TcNi5 | the Alexandria database | PBE | optimized geometry
data_Al6TcNi5
_chemical_formula_sum 'Al12 Tc2 Ni10'
_cell_length_a 4.1114
_cell_length_b 12.3785
_cell_length_c 5.8872
_cell_angle_alpha 90.00
_cell_angle_beta 90.00
_cell_angle_gamma 90.00
_space_group_name_H-M_alt 'C m m m'
_space_group_IT_number 65
_space_group_name_Hall '-C 2 2'
loop_
_atom_site_label
_atom_site_type_symbol
_atom_site_fract_x
_atom_site_fract_y
_atom_site_fract_z
Al1 Al 0.0000 0.0000 0.2420
Al2 Al 0.0000 0.3325 0.2473
Tc1 Tc 0.0000 0.5000 0.5000
Ni1 Ni 0.0000 0.1689 0.5000
Ni2 Ni 0.0000 0.1714 0.0000
Ni3 Ni 0.0000 0.5000 0.0000
# ΔH_f (0 K) = -0.606 eV per atom
# Uncorrected energy = -5.750 eV/atom


Record 2
# KMo2Br | the Alexandria database | PBE | optimized geometry
data_KMo2Br
_chemical_formula_sum 'K1 Mo2 Br1'
_cell_length_a 3.2911
_cell_length_b 3.2911
_cell_length_c 8.6860
_cell_angle_alpha 90.00
_cell_angle_beta 90.00
_cell_angle_gamma 90.00
_space_group_name_H-M_alt 'P 4 m m'
_space_group_IT_number 99
_space_group_name_Hall 'P 4 -2'
loop_
_atom_site_label
_atom_site_type_symbol
_atom_site_fract_x
_atom_site_fract_y
_atom_site_fract_z
K1 K 0.0000 0.0000 0.0000
Mo1 Mo 0.0000 0.0000 0.4751
Mo2 Mo 0.5000 0.5000 0.3447
Br1 Br 0.5000 0.5000 0.7452
# Offset from the most stable computed form = 110 meV/atom
# Uncorrected energy = -5.749 eV/atom
# Energy relative to the elements, uncorrected = 0.359 eV per atom


Record 3
# Li5Ga2Cu12 | the Alexandria database | PBE | optimized geometry
data_Li5Ga2Cu12
_chemical_formula_sum 'Li10 Ga4 Cu24'
_cell_length_a 12.4835
_cell_length_b 8.2105
_cell_length_c 4.8148
_cell_angle_alpha 90.00
_cell_angle_beta 100.94
_cell_angle_gamma 90.00
_space_group_name_H-M_alt 'C 1 2/m 1'
_space_group_IT_number 12
_space_group_name_Hall '-C 2y'
loop_
_atom_site_label
_atom_site_type_symbol
_atom_site_fract_x
_atom_site_fract_y
_atom_site_fract_z
Li1 Li 0.0000 0.0000 0.0000
Li2 Li 0.1576 0.5000 0.3865
Li3 Li 0.2278 0.0000 0.0060
Ga1 Ga 0.0000 0.2340 0.5000
Cu1 Cu 0.0495 0.5000 0.7859
Cu2 Cu 0.1021 0.2586 0.1020
Cu3 Cu 0.1340 0.0000 0.4447
Cu4 Cu 0.2009 0.2588 0.7012
# ΔH_f (0 K) = -0.057 eV per atom
# Uncorrected energy = -3.466 eV/atom


Record 4
# TeOs2Br | the Alexandria database | PBE | optimized geometry
data_TeOs2Br
_chemical_formula_sum 'Te4 Os8 Br4'
_cell_length_a 6.5425
_cell_length_b 6.5425
_cell_length_c 6.5425
_cell_angle_alpha 90.00
_cell_angle_beta 90.00
_cell_angle_gamma 90.00
_space_group_name_H-M_alt 'F m -3 m'
_space_group_IT_number 225
_space_group_name_Hall '-F 4 2 3'
loop_
_atom_site_label
_atom_site_type_symbol
_atom_site_fract_x
_atom_site_fract_y
_atom_site_fract_z
Te1 Te 0.0000 0.0000 0.0000
Os1 Os 0.2500 0.2500 0.2500
Br1 Br 0.0000 0.0000 0.5000
# Offset from the most stable computed form = 1021 meV/atom
# Uncorrected energy = -5.478 eV/atom
# Energy relative to the elements, uncorrected = 1.341 eV per atom